Compound: HoMgAl2
Source: Alexandria
Functional: PBE-GGA
Structure: relaxed

Summary:
energy above the most stable polymorph in this dataset	133.6	meV/atom

Cell: 3.4250 3.4250 7.1610 Å, 90.00 90.00 90.00°
Atoms (fractional coordinates):
1 Mg 0.5000 0.5000 0.0000
2 Ho 0.5000 0.5000 0.5000
3 Al 0.0000 0.0000 0.7768
4 Al 0.0000 0.0000 0.2232